# PBE V2HPt8, optimized geometry
data_V2HPt8
_cell_length_a 4.526
_cell_length_b 5.503
_cell_length_c 12.524
_cell_angle_alpha 90.00
_cell_angle_beta 90.00
_cell_angle_gamma 90.00
_space_group_name_H-M_alt 'I m m m'
_space_group_IT_number 71
_space_group_name_Hall '-I 2 2'
loop_
_atom_site_label
_atom_site_type_symbol
_atom_site_fract_x
_atom_site_fract_y
_atom_site_fract_z
V1 V 0.000 0.000 0.184
H1 H 0.000 0.000 0.500
Pt1 Pt 0.000 0.240 0.000
Pt2 Pt 0.000 0.249 0.380
Pt3 Pt 0.000 0.500 0.193
# Magnetic moment   0.0000 μB per atom
# Raw total energy   -6.66 eV/atom
# Theoretical density   17.71 g/cm3



# PBE VZn2HPt, optimized geometry
data_VZn2HPt
_cell_length_a 4.099
_cell_length_b 4.099
_cell_length_c 3.608
_cell_angle_alpha 90.00
_cell_angle_beta 90.00
_cell_angle_gamma 90.00
_space_group_name_H-M_alt 'P 4/m m m'
_space_group_IT_number 123
_space_group_name_Hall '-P 4 2'
loop_
_atom_site_label
_atom_site_type_symbol
_atom_site_fract_x
_atom_site_fract_y
_atom_site_fract_z
V1 V 0.000 0.000 0.000
Zn1 Zn 0.000 0.500 0.500
H1 H 0.000 0.000 0.500
Pt1 Pt 0.500 0.500 0.000
# Magnetic moment   0.3573 μB per atom
# Raw total energy   -4.32 eV/atom
# Theoretical density   10.35 g/cm3



# PBE V2ZnHPt, optimized geometry
data_V2ZnHPt
_cell_length_a 3.691
_cell_length_b 3.691
_cell_length_c 4.267
_cell_angle_alpha 90.00
_cell_angle_beta 90.00
_cell_angle_gamma 90.00
_space_group_name_H-M_alt 'P 4/m m m'
_space_group_IT_number 123
_space_group_name_Hall '-P 4 2'
loop_
_atom_site_label
_atom_site_type_symbol
_atom_site_fract_x
_atom_site_fract_y
_atom_site_fract_z
V1 V 0.000 0.500 0.000
Zn1 Zn 0.000 0.000 0.500
H1 H 0.000 0.000 0.000
Pt1 Pt 0.500 0.500 0.500
# Energy above the lowest structure with this stoichiometry   0.000 eV/f.u.
# Magnetic moment   0.0000 μB per atom
# Raw total energy   -6.01 eV/atom
# Theoretical density   10.38 g/cm3



# PBE ZrV2HPt, optimized geometry
data_ZrV2HPt
_cell_length_a 3.883
_cell_length_b 3.883
_cell_length_c 4.423
_cell_angle_alpha 90.00
_cell_angle_beta 90.00
_cell_angle_gamma 90.00
_space_group_name_H-M_alt 'P 4/m m m'
_space_group_IT_number 123
_space_group_name_Hall '-P 4 2'
loop_
_atom_site_label
_atom_site_type_symbol
_atom_site_fract_x
_atom_site_fract_y
_atom_site_fract_z
Zr1 Zr 0.000 0.000 0.000
V1 V 0.000 0.500 0.500
H1 H 0.000 0.000 0.500
Pt1 Pt 0.500 0.500 0.000
# Magnetic moment   0.0000 μB per atom
# Raw total energy   -7.55 eV/atom
# Theoretical density   9.69 g/cm3